Entry from Alexandria: a relaxed structure of MgCrH10O9 (PBE+U).

Calculated values
Uncorrected energy ... -227.341 eV for the cell shown
Space-group type ... P-1
D(E_F) ... 0.0000 states/eV per atom

Structure (POSCAR):
```
MgCrH10O9
1.0
6.220 0.000 0.000
2.102 6.014 0.000
1.638 2.382 10.563
Mg Cr H O
2 2 20 18
direct
0.000 0.000 0.000
0.000 0.500 0.500
0.355 0.017 0.711
0.645 0.983 0.289
0.099 0.669 0.211
0.104 0.806 0.593
0.165 0.138 0.375
0.241 0.285 0.006
0.257 0.106 0.141
0.292 0.438 0.802
0.311 0.614 0.875
0.335 0.652 0.130
0.340 0.689 0.370
0.437 0.414 0.394
0.563 0.586 0.606
0.660 0.311 0.630
0.665 0.348 0.870
0.689 0.386 0.125
0.708 0.562 0.198
0.743 0.894 0.859
0.759 0.715 0.994
0.835 0.862 0.625
0.896 0.194 0.407
0.901 0.331 0.789
0.031 0.237 0.417
0.167 0.701 0.124
0.169 0.176 0.065
0.177 0.276 0.662
0.270 0.909 0.860
0.300 0.546 0.403
0.355 0.843 0.622
0.361 0.448 0.875
0.381 0.966 0.292
0.619 0.034 0.708
0.639 0.552 0.125
0.645 0.157 0.378
0.700 0.454 0.597
0.730 0.091 0.140
0.823 0.724 0.338
0.831 0.824 0.935
0.833 0.299 0.876
0.969 0.763 0.583
```